1.
Entry from Alexandria via LeMat-Bulk: a relaxed structure of Nd2YTmS6 (PBE).

abc: 7.3984 7.3984 7.3984
angles: 56.79 56.79 56.79
Fractional positions:
Nd1 0.0000 0.0000 0.0000
Nd2 0.4993 0.4993 0.4993
Y1 0.2058 0.2058 0.2058
Tm1 0.7048 0.7048 0.7048
S1 0.0827 0.4193 0.8216
S2 0.3242 0.9141 0.5876
S3 0.4193 0.8216 0.0827
S4 0.5876 0.3242 0.9141
S5 0.8216 0.0827 0.4193
S6 0.9141 0.5876 0.3242

## Properties
energy relative to the elements, uncorrected: -2.038 eV per atom
V: 26.5 Å³ per atom
spin magnetization: 0.000 μB per cell

=====

2.
Entry from Alexandria via LeMat-Bulk: a relaxed structure of Nd2Y3TmS6 (PBE).

abc: 8.8362 8.8362 7.9642
angles: 102.97 102.97 25.77
Fractional positions:
Nd1 0.1681 0.1681 0.3363
Nd2 0.8319 0.8319 0.6637
Y1 0.1700 0.1700 0.8331
Y2 0.5000 0.5000 0.5000
Y3 0.8300 0.8300 0.1669
Tm1 0.5000 0.5000 0.0000
S1 0.0039 0.0039 0.7581
S2 0.3373 0.3373 0.4086
S3 0.3368 0.3368 0.9278
S4 0.6632 0.6632 0.0722
S5 0.6627 0.6627 0.5914
S6 0.9961 0.9961 0.2419

## Properties
energy relative to the elements, uncorrected: -1.992 eV per atom
V: 21.9 Å³ per atom
spin magnetization: 0.000 μB per cell

=====

3.
Entry from Alexandria via LeMat-Bulk: a relaxed structure of Nd4YTm3S8 (PBE).

abc: 8.0318 8.0318 8.0318
angles: 58.45 58.45 58.45
Fractional positions:
Nd1 0.0000 0.0000 0.0000
Nd2 0.0000 0.5000 0.5000
Nd3 0.5000 0.0000 0.5000
Nd4 0.5000 0.5000 0.0000
Y1 0.5000 0.5000 0.5000
Tm1 0.0000 0.0000 0.5000
Tm2 0.0000 0.5000 0.0000
Tm3 0.5000 0.0000 0.0000
S1 0.2395 0.7449 0.7449
S2 0.2424 0.2424 0.2424
S3 0.2551 0.2551 0.7605
S4 0.2551 0.7605 0.2551
S5 0.7449 0.2395 0.7449
S6 0.7449 0.7449 0.2395
S7 0.7576 0.7576 0.7576
S8 0.7605 0.2551 0.2551

## Properties
energy relative to the elements, uncorrected: -1.994 eV per atom
V: 22.1 Å³ per atom
spin magnetization: 0.000 μB per cell

=====

4.
Entry from Alexandria via LeMat-Bulk: a relaxed structure of Nd4Y3TmS8 (PBE).

abc: 8.0417 8.0417 8.0417
angles: 58.88 58.88 58.88
Fractional positions:
Nd1 0.0000 0.0000 0.0000
Nd2 0.0000 0.5000 0.5000
Nd3 0.5000 0.0000 0.5000
Nd4 0.5000 0.5000 0.0000
Y1 0.0000 0.0000 0.5000
Y2 0.0000 0.5000 0.0000
Y3 0.5000 0.0000 0.0000
Tm1 0.5000 0.5000 0.5000
S1 0.2448 0.2448 0.2448
S2 0.2477 0.7421 0.7421
S3 0.2579 0.2579 0.7523
S4 0.2579 0.7523 0.2579
S5 0.7421 0.2477 0.7421
S6 0.7421 0.7421 0.2477
S7 0.7523 0.2579 0.2579
S8 0.7552 0.7552 0.7552

## Properties
energy relative to the elements, uncorrected: -2.006 eV per atom
V: 22.4 Å³ per atom
spin magnetization: 0.000 μB per cell

=====

5.
Entry from Alexandria via LeMat-Bulk: a relaxed structure of Nd2YTm3S6 (PBE).

abc: 8.8243 8.8243 7.9551
angles: 104.21 104.21 25.50
Fractional positions:
Nd1 0.1675 0.1675 0.3350
Nd2 0.8325 0.8325 0.6650
Y1 0.5000 0.5000 0.0000
Tm1 0.1684 0.1684 0.8332
Tm2 0.5000 0.5000 0.5000
Tm3 0.8316 0.8316 0.1668
S1 0.0051 0.0051 0.7472
S2 0.3325 0.3325 0.9309
S3 0.3385 0.3385 0.4045
S4 0.6615 0.6615 0.5955
S5 0.6675 0.6675 0.0691
S6 0.9949 0.9949 0.2528

## Properties
energy relative to the elements, uncorrected: -1.977 eV per atom
V: 21.5 Å³ per atom
spin magnetization: 0.000 μB per cell

=====

6.
Entry from Alexandria via LeMat-Bulk: a relaxed structure of Nd3YTm3S8 (PBE).

abc: 7.9544 7.9544 7.9544
angles: 59.05 59.05 59.05
Fractional positions:
Nd1 0.0000 0.5000 0.5000
Nd2 0.5000 0.0000 0.5000
Nd3 0.5000 0.5000 0.0000
Y1 0.5000 0.5000 0.5000
Tm1 0.0000 0.0000 0.5000
Tm2 0.0000 0.5000 0.0000
Tm3 0.5000 0.0000 0.0000
S1 0.2377 0.7486 0.7486
S2 0.2432 0.2432 0.2432
S3 0.2514 0.2514 0.7623
S4 0.2514 0.7623 0.2514
S5 0.7486 0.2377 0.7486
S6 0.7486 0.7486 0.2377
S7 0.7568 0.7568 0.7568
S8 0.7623 0.2514 0.2514

## Properties
energy relative to the elements, uncorrected: -2.039 eV per atom
V: 23.2 Å³ per atom
spin magnetization: 0.000 μB per cell

=====

7.
Entry from Alexandria via LeMat-Bulk: a relaxed structure of NdY2TmS4 (PBE).

abc: 6.8065 3.8959 6.8959
angles: 90.00 108.92 90.00
Fractional positions:
Nd1 0.0000 0.0000 0.0000
Y1 0.5000 0.0000 0.5000
Y2 0.5000 0.5000 0.0000
Tm1 0.0000 0.5000 0.5000
S1 0.2489 0.0000 0.7397
S2 0.2567 0.5000 0.2624
S3 0.7433 0.5000 0.7376
S4 0.7511 0.0000 0.2603

## Properties
energy relative to the elements, uncorrected: -1.977 eV per atom
V: 21.6 Å³ per atom
spin magnetization: 0.000 μB per cell

=====

8.
Entry from Alexandria via LeMat-Bulk: a relaxed structure of NdY2Tm3S6 (PBE).

abc: 8.7427 8.7427 7.8721
angles: 103.59 103.59 25.68
Fractional positions:
Nd1 0.0000 0.0000 0.0000
Y1 0.3345 0.3345 0.6694
Y2 0.6655 0.6655 0.3306
Tm1 0.0000 0.0000 0.5000
Tm2 0.3354 0.3354 0.1661
Tm3 0.6646 0.6646 0.8339
S1 0.1656 0.1656 0.5876
S2 0.1724 0.1724 0.0810
S3 0.4989 0.4989 0.2641
S4 0.5011 0.5011 0.7359
S5 0.8276 0.8276 0.9190
S6 0.8344 0.8344 0.4124

## Properties
energy relative to the elements, uncorrected: -1.969 eV per atom
V: 21.1 Å³ per atom
spin magnetization: 0.000 μB per cell

=====

9.
Entry from Alexandria via LeMat-Bulk: a relaxed structure of NdYTm2S4 (PBE).

abc: 6.7556 3.8654 6.8931
angles: 90.00 108.76 90.00
Fractional positions:
Nd1 0.0000 0.0000 0.0000
Y1 0.5000 0.5000 0.0000
Tm1 0.0000 0.5000 0.5000
Tm2 0.5000 0.0000 0.5000
S1 0.2512 0.0000 0.7373
S2 0.2616 0.5000 0.2672
S3 0.7384 0.5000 0.7328
S4 0.7488 0.0000 0.2627

## Properties
energy relative to the elements, uncorrected: -1.969 eV per atom
V: 21.3 Å³ per atom
spin magnetization: 0.000 μB per cell

=====

10.
Entry from Alexandria via LeMat-Bulk: a relaxed structure of Nd2YTmS5 (PBE).

abc: 4.8329 4.8329 10.2304
angles: 90.00 90.00 90.00
Fractional positions:
Nd1 0.0000 0.0000 0.2043
Nd2 0.0000 0.0000 0.7957
Y1 0.5000 0.5000 0.5000
Tm1 0.5000 0.5000 0.0000
S1 0.0000 0.0000 0.5000
S2 0.0000 0.5000 0.0000
S3 0.5000 0.0000 0.0000
S4 0.5000 0.5000 0.2539
S5 0.5000 0.5000 0.7461

## Properties
energy relative to the elements, uncorrected: -1.499 eV per atom
V: 26.5 Å³ per atom
spin magnetization: 0.000 μB per cell

=====

11.
Entry from Alexandria via LeMat-Bulk: a relaxed structure of Nd2TmZnS5 (PBE).

abc: 8.6798 8.6798 11.9442
angles: 90.00 90.00 154.31
Fractional positions:
Nd1 0.1146 0.8854 0.5000
Nd2 0.1321 0.8679 0.1339
Nd3 0.8679 0.1321 0.6339
Nd4 0.8854 0.1146 0.0000
Tm1 0.1989 0.8011 0.8322
Tm2 0.8011 0.1989 0.3322
Zn1 0.4531 0.5469 0.2641
Zn2 0.5469 0.4531 0.7641
S1 0.0422 0.9578 0.8702
S2 0.2898 0.7102 0.4887
S3 0.3150 0.6850 0.1741
S4 0.3558 0.6442 0.8202
S5 0.4939 0.5061 0.5897
S6 0.5061 0.4939 0.0897
S7 0.6442 0.3558 0.3202
S8 0.6850 0.3150 0.6741
S9 0.7102 0.2898 0.9887
S10 0.9578 0.0422 0.3702

## Properties
energy relative to the elements, uncorrected: -1.752 eV per atom
V: 21.7 Å³ per atom
spin magnetization: 0.000 μB per cell

=====

12.
Entry from Alexandria via LeMat-Bulk: a relaxed structure of NdUS3 (PBE).

abc: 7.4276 3.9637 15.4199
angles: 90.00 90.00 90.00
Fractional positions:
Nd1 0.1165 0.2500 0.2053
Nd2 0.3835 0.7500 0.7053
Nd3 0.6165 0.2500 0.2947
Nd4 0.8835 0.7500 0.7947
U1 0.2365 0.7500 0.4608
U2 0.2635 0.2500 0.9608
U3 0.7365 0.7500 0.0392
U4 0.7635 0.2500 0.5392
S1 0.0101 0.2500 0.3990
S2 0.1248 0.7500 0.0664
S3 0.1653 0.2500 0.7834
S4 0.3347 0.7500 0.2834
S5 0.3752 0.2500 0.5664
S6 0.4899 0.7500 0.8990
S7 0.5101 0.2500 0.1010
S8 0.6248 0.7500 0.4336
S9 0.6653 0.2500 0.7166
S10 0.8347 0.7500 0.2166
S11 0.8752 0.2500 0.9336
S12 0.9899 0.7500 0.6010

## Properties
energy relative to the elements, uncorrected: -1.735 eV per atom
energy above the lowest structure with this stoichiometry: 0.000 eV per formula unit
V: 22.7 Å³ per atom
spin magnetization: 11.034 μB per cell

=====

13.
Entry from Alexandria via LeMat-Bulk: a relaxed structure of NdU2S5 (PBE).

abc: 11.7947 7.4258 7.9817
angles: 90.00 90.00 90.00
Fractional positions:
Nd1 0.1779 0.0229 0.0000
Nd2 0.3221 0.5229 0.5000
Nd3 0.6779 0.4771 0.0000
Nd4 0.8221 0.9771 0.5000
U1 0.0077 0.5745 0.7487
U2 0.1795 0.0188 0.5014
U3 0.3205 0.5188 0.0014
U4 0.4923 0.0745 0.2487
U5 0.5077 0.9255 0.7487
U6 0.6795 0.4812 0.5014
U7 0.8205 0.9812 0.0014
U8 0.9923 0.4255 0.2487
S1 0.0010 0.9588 0.7517
S2 0.0950 0.6696 0.4539
S3 0.1006 0.6556 0.0415
S4 0.1865 0.3287 0.7490
S5 0.2157 0.2995 0.2508
S6 0.2843 0.7995 0.7508
S7 0.3135 0.8287 0.2490
S8 0.3994 0.1556 0.5415
S9 0.4050 0.1696 0.9539
S10 0.4990 0.4588 0.2517
S11 0.5010 0.5412 0.7517
S12 0.5950 0.8304 0.4539
S13 0.6006 0.8444 0.0415
S14 0.6865 0.1713 0.7490
S15 0.7157 0.2005 0.2508
S16 0.7843 0.7005 0.7508
S17 0.8135 0.6713 0.2490
S18 0.8994 0.3444 0.5415
S19 0.9050 0.3304 0.9539
S20 0.9990 0.0412 0.2517

## Properties
energy relative to the elements, uncorrected: -1.615 eV per atom
V: 21.8 Å³ per atom
spin magnetization: 19.911 μB per cell

=====

14.
Entry from Alexandria via LeMat-Bulk: a relaxed structure of Nd5U2S12 (PBE).

abc: 8.6469 8.6469 9.1263
angles: 105.73 105.73 51.44
Fractional positions:
Nd1 0.0000 0.0000 0.0000
Nd2 0.2944 0.2944 0.1364
Nd3 0.3112 0.3112 0.6766
Nd4 0.6888 0.6888 0.3234
Nd5 0.7056 0.7056 0.8636
U1 0.2521 0.7479 0.5000
U2 0.7479 0.2521 0.5000
S1 0.0044 0.0044 0.3058
S2 0.0950 0.5567 0.4099
S3 0.1033 0.5982 0.9334
S4 0.4018 0.8967 0.0666
S5 0.4433 0.9050 0.5901
S6 0.4981 0.4981 0.2879
S7 0.5019 0.5019 0.7121
S8 0.5567 0.0950 0.4099
S9 0.5982 0.1033 0.9334
S10 0.8967 0.4018 0.0666
S11 0.9050 0.4433 0.5901
S12 0.9956 0.9956 0.6942

## Properties
energy relative to the elements, uncorrected: -1.784 eV per atom
V: 26.8 Å³ per atom
spin magnetization: 3.000 μB per cell

=====

15.
Entry from Alexandria via LeMat-Bulk: a relaxed structure of NdU2S6 (PBE).

abc: 7.2298 7.2298 8.9690
angles: 123.75 123.75 41.66
Fractional positions:
Nd1 0.0000 0.0000 0.0000
U1 0.1815 0.1815 0.6050
U2 0.8185 0.8185 0.3950
S1 0.0368 0.0368 0.7150
S2 0.2602 0.2602 0.3830
S3 0.3650 0.3650 0.9377
S4 0.6350 0.6350 0.0623
S5 0.7398 0.7398 0.6170
S6 0.9632 0.9632 0.2850

## Properties
energy relative to the elements, uncorrected: -1.428 eV per atom
V: 27.8 Å³ per atom
spin magnetization: 3.000 μB per cell

=====

16.
Entry from Alexandria via LeMat-Bulk: a relaxed structure of Nd2US6 (PBE).

abc: 6.6553 7.1896 11.1100
angles: 90.00 119.28 90.00
Fractional positions:
Nd1 0.1775 0.0973 0.2318
Nd2 0.1775 0.4027 0.7318
Nd3 0.8225 0.5973 0.2682
Nd4 0.8225 0.9027 0.7682
U1 0.5000 0.0000 0.0000
U2 0.5000 0.5000 0.5000
S1 0.1368 0.1844 0.9462
S2 0.1368 0.3156 0.4462
S3 0.2505 0.7034 0.9185
S4 0.2505 0.7966 0.4185
S5 0.4182 0.0612 0.7576
S6 0.4182 0.4388 0.2576
S7 0.5818 0.5612 0.7424
S8 0.5818 0.9388 0.2424
S9 0.7495 0.2034 0.5815
S10 0.7495 0.2966 0.0815
S11 0.8632 0.6844 0.5538
S12 0.8632 0.8156 0.0538

## Properties
energy relative to the elements, uncorrected: -1.623 eV per atom
energy above the lowest structure with this stoichiometry: 0.000 eV per formula unit
V: 25.8 Å³ per atom
spin magnetization: 0.000 μB per cell

=====

17.
Entry from Alexandria via LeMat-Bulk: a relaxed structure of NdUS3 (PBE).

abc: 8.7286 8.7286 5.1764
angles: 90.00 90.00 136.50
Fractional positions:
Nd1 0.1837 0.8163 0.0000
Nd2 0.8163 0.1837 0.0000
U1 0.3813 0.6187 0.5000
U2 0.6187 0.3813 0.5000
S1 0.0000 0.5000 0.5000
S2 0.2313 0.2313 0.5000
S3 0.3535 0.6465 0.0000
S4 0.5000 0.0000 0.5000
S5 0.6465 0.3535 0.0000
S6 0.7687 0.7687 0.5000

## Properties
energy relative to the elements, uncorrected: -1.306 eV per atom
energy above the lowest structure with this stoichiometry: 2.145 eV per formula unit
V: 27.1 Å³ per atom
spin magnetization: 5.934 μB per cell

=====

18.
Entry from Alexandria via LeMat-Bulk: a relaxed structure of NdU5S6 (PBE).

abc: 6.7754 6.7754 6.7588
angles: 99.70 99.70 120.41
Fractional positions:
Nd1 0.0000 0.0000 0.0000
U1 0.1630 0.8370 0.5000
U2 0.3324 0.6676 0.0000
U3 0.5000 0.5000 0.5000
U4 0.6676 0.3324 0.0000
U5 0.8370 0.1630 0.5000
S1 0.0857 0.4262 0.2556
S2 0.2580 0.2580 0.7497
S3 0.4262 0.0857 0.2556
S4 0.5738 0.9143 0.7444
S5 0.7420 0.7420 0.2503
S6 0.9143 0.5738 0.7444

## Properties
energy relative to the elements, uncorrected: -1.460 eV per atom
V: 21.0 Å³ per atom
spin magnetization: 12.076 μB per cell

=====

19.
Entry from Alexandria via LeMat-Bulk: a relaxed structure of Nd2US3 (PBE).

abc: 3.9274 3.9274 20.4358
angles: 90.00 90.00 120.00
Fractional positions:
Nd1 0.3333 0.6667 0.0872
Nd2 0.3333 0.6667 0.4128
Nd3 0.6667 0.3333 0.5872
Nd4 0.6667 0.3333 0.9128
U1 0.0000 0.0000 0.2500
U2 0.0000 0.0000 0.7500
S1 0.0000 0.0000 0.0000
S2 0.0000 0.0000 0.5000
S3 0.3333 0.6667 0.6697
S4 0.3333 0.6667 0.8303
S5 0.6667 0.3333 0.1697
S6 0.6667 0.3333 0.3303

## Properties
energy relative to the elements, uncorrected: -1.754 eV per atom
V: 22.7 Å³ per atom
spin magnetization: 5.148 μB per cell